Record 1
This record from Alexandria describes a relaxed Zr2SbRuBr crystal. The functional is PBE.

a = 4.9866 Å, b = 4.9866 Å, c = 4.5728 Å
α = 90.00°, β = 90.00°, γ = 90.00°
With the nearest neighbours (Å) after each atom.
Sites, in units of the cell vectors:
Zr1 0.0000 0.5000 0.0000  2 Br 2.49
Zr2 0.5000 0.0000 0.0000  2 Br 2.49
Sb1 0.0000 0.0000 0.5000  8 Zr 3.38, 4 Ru 3.53
Ru1 0.5000 0.5000 0.5000  2 Br 2.29
Br1 0.5000 0.5000 0.0000  2 Ru 2.29, 4 Zr 2.49

Output
The uncorrected formation energy comes out at 41.1 kJ per mole of atoms. As for the symmetry: P4/mmm. As for the uncorrected energy: -6.007 eV per atom.

---

Record 2
This record from Alexandria describes a relaxed Sc2RuBr crystal. The functional is PBE.

a = 8.2537 Å, b = 8.2537 Å, c = 8.2537 Å
α = 27.14°, β = 27.14°, γ = 27.14°
With the nearest neighbours (Å) after each atom.
Sites, in units of the cell vectors:
Sc1 0.1111 0.1111 0.1111  3 Ru 2.60, 1 Br 2.65
Sc2 0.8889 0.8889 0.8889  3 Ru 2.60, 1 Br 2.65
Ru1 0.5000 0.5000 0.5000  6 Sc 2.60
Br1 0.0000 0.0000 0.0000  2 Sc 2.65

Output
The energy above the most stable polymorph in this dataset comes out at 0.838 eV per formula unit. The uncorrected formation energy comes out at -57.1 kJ per mole of atoms. As for the symmetry: R-3m. As for the uncorrected energy: -6.494 eV per atom.

---

Record 3
This record from Alexandria describes a relaxed Sc2RuBr crystal. The functional is PBE.

a = 4.7576 Å, b = 4.7576 Å, c = 4.7576 Å
α = 60.00°, β = 60.00°, γ = 60.00°
With the nearest neighbours (Å) after each atom.
Sites, in units of the cell vectors:
Sc1 0.0000 0.0000 0.0000  4 Br 2.91, 4 Sc 2.91
Sc2 0.2500 0.2500 0.2500  4 Ru 2.91, 4 Sc 2.91
Ru1 0.5000 0.5000 0.5000  4 Br 2.91, 4 Sc 2.91
Br1 0.7500 0.7500 0.7500  4 Ru 2.91, 4 Sc 2.91

Output
The energy above the most stable polymorph in this dataset comes out at 4.181 eV per formula unit. The uncorrected formation energy comes out at 23.6 kJ per mole of atoms. As for the symmetry: F-43m. As for the uncorrected energy: -5.659 eV per atom.

---

Which of these has the highest uncorrected energy? number 3

---

Which of these has the highest uncorrected energy? number 3